[1]
A geometry-optimized YMgTl2Pd structure. Source: the Alexandria database, functional PBE-GGA.

a b c (Å): 5.3153 5.3153 5.2810
angles (deg): 90.00 90.00 90.00
Last column: nearest neighbours and their distance in Å.
Space group P4/mmm (No. 123)
Asymmetric unit:
Y 0.0000 0.0000 0.0000 [1 per cell]  2 Pd 2.64
Mg 0.5000 0.5000 0.0000 [1 per cell]  8 Tl 3.75, 4 Y 3.76
Tl 0.0000 0.5000 0.5000 [2 per cell]  2 Pd 2.66
Pd 0.0000 0.0000 0.5000 [1 per cell]  2 Y 2.64, 4 Tl 2.66

Calculated values
- E_tot (eV for the cell shown) = -18.05
- formation enthalpy at 0 K (eV per atom) = -0.0137

[2]
A geometry-optimized MgZrTlPd structure. Source: the Alexandria database, functional PBE-GGA.

a b c (Å): 6.8418 6.8418 6.8418
angles (deg): 90.00 90.00 90.00
Last column: nearest neighbours and their distance in Å.
Space group F-43m (No. 216)
Asymmetric unit:
Mg 0.0000 0.0000 0.0000 [4 per cell]  4 Tl 2.96, 4 Pd 2.96
Zr 0.0000 0.0000 0.5000 [4 per cell]  4 Tl 2.96, 4 Pd 2.96
Tl 0.2500 0.2500 0.2500 [4 per cell]  4 Zr 2.96, 4 Mg 2.96
Pd 0.2500 0.2500 0.7500 [4 per cell]  4 Zr 2.96, 4 Mg 2.96

Calculated values
- E_tot (eV for the cell shown) = -75.87
- formation enthalpy at 0 K (eV per atom) = -0.3167

[3]
A geometry-optimized Tm4MgPd15 structure. Source: the Alexandria database, functional PBE-GGA.

a b c (Å): 4.0729 4.0729 20.3955
angles (deg): 90.00 90.00 90.00
Last column: nearest neighbours and their distance in Å.
Space group P4/mmm (No. 123)
Asymmetric unit:
Tm 0.0000 0.0000 0.1012 [2 per cell]  12 Pd 2.88-2.91
Tm 0.0000 0.0000 0.3042 [2 per cell]  12 Pd 2.88-2.90
Mg 0.0000 0.0000 0.5000 [1 per cell]  12 Pd 2.81-2.88
Pd 0.0000 0.5000 0.0000 [2 per cell]  8 Pd 2.88-2.91, 4 Tm 2.90
Pd 0.0000 0.5000 0.2028 [4 per cell]  8 Pd 2.88-2.90, 4 Tm 2.90-2.91
Pd 0.0000 0.5000 0.4051 [4 per cell]  8 Pd 2.81-2.90, 2 Mg 2.81, 2 Tm 2.90
Pd 0.5000 0.5000 0.1017 [2 per cell]  4 Tm 2.88, 8 Pd 2.90-2.91
Pd 0.5000 0.5000 0.3037 [2 per cell]  4 Tm 2.88, 8 Pd 2.90
Pd 0.5000 0.5000 0.5000 [1 per cell]  8 Pd 2.81, 4 Mg 2.88

Calculated values
- E_tot (eV for the cell shown) = -113.83
- formation enthalpy at 0 K (eV per atom) = -0.8229

[4]
A geometry-optimized TmMg6Pd12 structure. Source: the Alexandria database, functional PBE-GGA.

a b c (Å): 11.0800 11.0800 9.4641
angles (deg): 90.00 90.00 120.00
Last column: nearest neighbours and their distance in Å.
Space group R-3 (No. 148, hexagonal axes)
Asymmetric unit:
Tm 0.0000 0.0000 0.0000 [3 per cell]  6 Pd 2.83, 6 Mg 3.13
Mg 0.0925 0.9044 0.7303 [18 per cell]  5 Pd 2.63-2.91
Pd 0.0010 0.7448 0.9998 [18 per cell]  2 Mg 2.63-2.64, 4 Pd 2.79-2.83, 1 Tm 2.83
Pd 0.0625 0.5322 0.1225 [18 per cell]  5 Pd 2.61-2.79, 3 Mg 2.72-2.91

Calculated values
- E_tot (eV for the cell shown) = -250.88
- formation enthalpy at 0 K (eV per atom) = -0.3829

> Look up the formation enthalpy at 0 K of the second one.

-0.3167 eV per atom

What did the first record say?
A geometry-optimized YMgTl2Pd structure. Source: the Alexandria database, functional PBE-GGA.

a b c (Å): 5.3153 5.3153 5.2810
angles (deg): 90.00 90.00 90.00
Last column: nearest neighbours and their distance in Å.
Space group P4/mmm (No. 123)
Asymmetric unit:
Y 0.0000 0.0000 0.0000 [1 per cell]  2 Pd 2.64
Mg 0.5000 0.5000 0.0000 [1 per cell]  8 Tl 3.75, 4 Y 3.76
Tl 0.0000 0.5000 0.5000 [2 per cell]  2 Pd 2.66
Pd 0.0000 0.0000 0.5000 [1 per cell]  2 Y 2.64, 4 Tl 2.66

Calculated values
- E_tot (eV for the cell shown) = -18.05
- formation enthalpy at 0 K (eV per atom) = -0.0137

> Look up the formation enthalpy at 0 K of the first one.

-0.0137 eV per atom